La2NiO | PBE+U | relaxed

a = 6.5634 Å, b = 6.5634 Å, c = 8.9027 Å
α = 90.00°, β = 90.00°, γ = 90.00°
Space group I-42d (No. 122)
One atom of each set of equivalent atoms:
1 La 0.2070 0.2500 0.1250
2 Ni 0.0000 0.0000 0.5000
3 O 0.0000 0.0000 0.0000

Calculated values
Energy in eV per cell: -86.255